5
Lattice="5.650 0.000 0.000 0.000 5.650 0.000 0.000 0.000 5.650" Properties=species:S:1:pos:R:3 comment="PBE CaWI3, optimized geometry" de_polymorph_mev_per_atom=0 raw_formation_energy_ev_per_atom=0.286 pbc="T T T"
Ca 0.000 0.000 0.000
W 2.825 2.825 2.825
I 0.000 2.825 2.825
I 2.825 0.000 2.825
I 2.825 2.825 0.000